! Ac2SCl | Alexandria via LeMat-Bulk | PBE | optimized geometry; values from VASP
&SYSTEM
  ibrav = 0, nat = 4, ntyp = 3
/
ATOMIC_SPECIES
Ac 227.00 Ac.upf
S 32.06 S.upf
Cl 35.45 Cl.upf
ATOMIC_POSITIONS crystal
Ac 0.0738 0.0738 0.7786
Ac 0.2607 0.2607 0.2178
S 0.6669 0.6669 0.9993
Cl 0.4986 0.4986 0.5042
CELL_PARAMETERS angstrom
-1.7682 3.6821 0.9659
-1.5959 0.6207 3.8321
5.7988 4.1154 4.0470
! calculated density: 7.3 g/cm³
! size of the total moment: 0.09 μB/atom
! N(E_F): 3.5 states/eV/f.u.
! space-group type: No. 160
! excess energy over the best structure of this formula in the dataset: 59 meV per atom